No. 1
Below is a relaxed TaTlB2 crystal, with properties calculated at the PBE level.

POSCAR file:
```
TaTlB2
1.0
5.965 0.000 0.000
0.000 5.965 0.000
2.982 2.982 3.607
Tl B Ta
2 4 2
Cartesian
0.000 0.000 0.000
5.965 2.982 1.803
4.353 1.491 0.902
1.611 4.473 0.902
4.473 4.594 2.705
7.456 7.336 2.705
2.982 2.982 0.000
2.982 5.965 1.803
```

Total magnetic moment in μB/atom: 0.000
Electronic total energy in eV per atom: -5.865
Energy above the lowest structure with this stoichiometry in kcal/mol of atoms: 0.000
Energy of formation in eV/atom: 1.029

=====

No. 2
Below is a relaxed TaTlB3 crystal, with properties calculated at the PBE level.

POSCAR file:
```
TaTlB3
1.0
-0.170 -4.233 0.820
2.524 -0.763 -3.415
3.495 0.345 2.506
Tl B Ta
1 3 1
Cartesian
0.000 0.000 0.000
1.262 -0.381 -1.708
1.748 0.172 1.253
-0.085 -2.116 0.410
2.925 -2.325 -0.045
```

Total magnetic moment in μB/atom: 0.000
Electronic total energy in eV per atom: -4.081
Energy above the lowest structure with this stoichiometry in kcal/mol of atoms: 31.243
Energy of formation in eV/atom: 2.769